LaCoH: relaxed, PBE.

Calculated values
For the energy above the lowest structure with this stoichiometry, the calculation gives 76 meV per atom. Its density of states at the Fermi level is 1.08 states/eV/f.u. The calculation puts the total energy at -5.34 eV per atom.

Cell lengths 3.445, 5.135, 5.136 Å; angles 90.00, 90.80, 90.00 degrees
Fractional positions:
1 La 0.000 0.500 0.000
2 La 0.000 0.000 0.500
3 Co 0.500 0.500 0.500
4 Co 0.500 0.000 0.000
5 H 0.000 0.000 0.000
6 H 0.000 0.500 0.500

Li3Cu5: relaxed, PBE.

Calculated values
For the energy above the lowest structure with this stoichiometry, the calculation gives 74 meV per atom. Its density of states at the Fermi level is 1.78 states/eV/f.u. The calculation puts the total energy at -3.23 eV per atom. Its energy of formation is 1.1 kcal/mol of atoms.

Cell lengths 6.421, 6.420, 7.693 Å; angles 96.58, 96.59, 137.35 degrees
Fractional positions:
1 Cu 0.247 0.747 0.504
2 Cu 0.752 0.253 0.496
3 Cu 0.751 0.047 0.789
4 Cu 0.248 0.953 0.210
5 Cu 0.734 0.571 0.308
6 Cu 0.266 0.429 0.692
7 Cu 0.546 0.251 0.790
8 Cu 0.453 0.749 0.211
9 Cu 0.070 0.234 0.308
10 Cu 0.929 0.766 0.692
11 Li 0.748 0.752 0.000
12 Li 0.251 0.248 0.000
13 Li 0.321 0.179 0.500
14 Li 0.679 0.821 0.500
15 Li 0.197 0.698 0.890
16 Li 0.802 0.302 0.110

Cs2CuH8Se2O12: relaxed, PBE.

Calculated values
The calculation puts the total energy at -5.02 eV per atom.

Cell lengths 7.673, 8.269, 11.831 Å; angles 90.00, 107.45, 90.00 degrees
Fractional positions:
1 Cs 0.450 0.111 0.739
2 Cs 0.950 0.389 0.239
3 Cs 0.550 0.889 0.261
4 Cs 0.050 0.611 0.761
5 Cu 0.500 0.500 0.500
6 Cu 0.000 0.000 0.000
7 H 0.542 0.552 0.721
8 H 0.042 0.948 0.221
9 H 0.458 0.448 0.279
10 H 0.958 0.052 0.779
11 H 0.375 0.657 0.634
12 H 0.875 0.843 0.134
13 H 0.625 0.343 0.366
14 H 0.125 0.157 0.866
15 H 0.247 0.140 0.431
16 H 0.747 0.360 0.931
17 H 0.753 0.860 0.569
18 H 0.253 0.640 0.069
19 H 0.176 0.261 0.511
20 H 0.676 0.239 0.011
21 H 0.824 0.739 0.489
22 H 0.324 0.761 0.989
23 Se 0.673 0.719 0.933
24 Se 0.173 0.781 0.433
25 Se 0.327 0.281 0.067
26 Se 0.827 0.219 0.567
27 O 0.455 0.778 0.888
28 O 0.955 0.722 0.388
29 O 0.545 0.222 0.112
30 O 0.045 0.278 0.612
31 O 0.254 0.315 0.921
32 O 0.754 0.185 0.421
33 O 0.746 0.685 0.079
34 O 0.246 0.815 0.579
35 O 0.800 0.055 0.644
36 O 0.300 0.445 0.144
37 O 0.200 0.945 0.356
38 O 0.700 0.555 0.856
39 O 0.701 0.369 0.604
40 O 0.201 0.131 0.104
41 O 0.299 0.631 0.396
42 O 0.799 0.869 0.896
43 O 0.437 0.548 0.646
44 O 0.937 0.952 0.146
45 O 0.563 0.452 0.354
46 O 0.063 0.048 0.854
47 O 0.263 0.251 0.464
48 O 0.763 0.249 0.964
49 O 0.737 0.749 0.536
50 O 0.237 0.751 0.036

ZrTc4: relaxed, PBE.

Calculated values
For the energy above the lowest structure with this stoichiometry, the calculation gives 62 meV per atom. Its density of states at the Fermi level is 6.01 states/eV/f.u. The calculation puts the total energy at -9.87 eV per atom. Its energy of formation is 3.2 kcal/mol of atoms.

Cell lengths 5.962, 5.962, 5.962 Å; angles 139.15, 139.15, 59.14 degrees
Fractional positions:
1 Zr 0.000 0.000 0.000
2 Tc 0.250 0.750 0.500
3 Tc 0.616 0.616 0.000
4 Tc 0.384 0.384 0.000
5 Tc 0.750 0.250 0.500

AcZr3: relaxed, PBE.

Calculated values
For the energy above the lowest structure with this stoichiometry, the calculation gives 17 meV per atom. Its density of states at the Fermi level is 4.01 states/eV/f.u. The calculation puts the total energy at -7.17 eV per atom. Its energy of formation is 6.3 kcal/mol of atoms.

Cell lengths 4.733, 4.733, 4.733 Å; angles 90.00, 90.00, 90.00 degrees
Fractional positions:
1 Ac 0.000 0.000 0.000
2 Zr 0.000 0.500 0.500
3 Zr 0.500 0.000 0.500
4 Zr 0.500 0.500 0.000

PtS2N2: relaxed, PBE.

Calculated values
For the energy above the lowest structure with this stoichiometry, the calculation gives 2121 meV per atom. Its density of states at the Fermi level is 3.82 states/eV/f.u. The calculation puts the total energy at -4.28 eV per atom. The value obtained for the formation energy from raw total energies is 9.565 eV/f.u.

Cell lengths 5.007, 5.007, 3.661 Å; angles 90.00, 90.00, 90.00 degrees
Fractional positions:
1 S 0.000 0.500 0.000
2 S 0.500 0.000 0.000
3 Pt 0.000 0.000 0.000
4 N 0.500 0.500 0.500
5 N 0.000 0.000 0.500

LaSeBr2: relaxed, PBE.

Calculated values
For the energy above the lowest structure with this stoichiometry, the calculation gives 218 meV per atom. Its density of states at the Fermi level is 0.99 states/eV/f.u. The calculation puts the total energy at -4.19 eV per atom. The value obtained for the formation energy from raw total energies is -4.989 eV/f.u.

Cell lengths 5.769, 5.769, 5.769 Å; angles 131.32, 131.32, 71.30 degrees
Fractional positions:
1 Br 0.000 0.000 0.000
2 Br 0.500 0.500 0.000
3 La 0.250 0.750 0.500
4 Se 0.750 0.250 0.500

Cr2CoPd2: relaxed, PBE.

Calculated values
For the energy above the lowest structure with this stoichiometry, the calculation gives 0 meV per atom. Its density of states at the Fermi level is 8.15 states/eV/f.u. The calculation puts the total energy at -6.89 eV per atom. Its energy of formation is 10.5 kcal/mol of atoms.

Cell lengths 7.046, 7.046, 3.071 Å; angles 90.00, 90.00, 90.00 degrees
Fractional positions:
1 Cr 0.163 0.663 0.500
2 Cr 0.663 0.837 0.500
3 Cr 0.837 0.337 0.500
4 Cr 0.337 0.163 0.500
5 Co 0.000 0.000 0.000
6 Co 0.500 0.500 0.000
7 Pd 0.362 0.862 0.000
8 Pd 0.862 0.638 0.000
9 Pd 0.638 0.138 0.000
10 Pd 0.138 0.362 0.000

KIrRu: relaxed, PBE.

Calculated values
For the energy above the lowest structure with this stoichiometry, the calculation gives 0 meV per atom. Its density of states at the Fermi level is 3.42 states/eV/f.u. The calculation puts the total energy at -5.97 eV per atom. Its energy of formation is 10.2 kcal/mol of atoms.

Cell lengths 2.773, 4.314, 12.355 Å; angles 90.00, 95.19, 90.00 degrees
Fractional positions:
1 Ru 0.027 0.250 0.064
2 Ru 0.973 0.750 0.936
3 K 0.113 0.250 0.325
4 K 0.887 0.750 0.675
5 Ir 0.452 0.250 0.879
6 Ir 0.548 0.750 0.121

LiAcTbSb: relaxed, PBE.

Calculated values
Its density of states at the Fermi level is 4.09 states/eV/f.u. The calculation puts the total energy at -4.08 eV per atom. The value obtained for the formation energy from raw total energies is -1.551 eV/f.u.

Cell lengths 5.483, 5.483, 5.483 Å; angles 60.00, 60.00, 60.00 degrees
Fractional positions:
1 Sb 0.250 0.250 0.250
2 Ac 0.500 0.500 0.500
3 Tb 0.000 0.000 0.000
4 Li 0.750 0.750 0.750

TlWBr2: relaxed, PBE.

Calculated values
For the energy above the lowest structure with this stoichiometry, the calculation gives 661 meV per atom. Its density of states at the Fermi level is 0.48 states/eV/f.u. The calculation puts the total energy at -3.75 eV per atom. The value obtained for the formation energy from raw total energies is 3.645 eV/f.u.

Cell lengths 7.110, 7.110, 7.110 Å; angles 144.64, 144.64, 50.88 degrees
Fractional positions:
1 Tl 0.500 0.500 0.000
2 Br 0.000 0.000 0.000
3 Br 0.250 0.750 0.500
4 W 0.750 0.250 0.500

Y3Co3Cu: relaxed, PBE.

Calculated values
Its density of states at the Fermi level is 4.98 states/eV/f.u. The calculation puts the total energy at -6.60 eV per atom. Its energy of formation is -4.6 kcal/mol of atoms.

Cell lengths 4.241, 5.381, 12.458 Å; angles 90.00, 90.00, 113.21 degrees
Fractional positions:
1 Y 0.219 0.438 0.896
2 Y 0.781 0.562 0.104
3 Y 0.219 0.438 0.604
4 Y 0.781 0.562 0.396
5 Y 0.509 0.018 0.750
6 Y 0.491 0.982 0.250
7 Co 0.929 0.859 0.912
8 Co 0.071 0.141 0.088
9 Co 0.929 0.859 0.588
10 Co 0.071 0.141 0.412
11 Co 0.813 0.627 0.750
12 Co 0.187 0.373 0.250
13 Cu 0.500 0.000 0.000
14 Cu 0.500 0.000 0.500